The following is a DFT calculation (PBE-GGA) of an optimized crystal structure of V3GaH.

Results
crystal system	orthorhombic
Fermi-level density of states	1.092	states/eV per atom
DFT total energy	-6.864	eV/atom
size of the total moment	0.00	μB/cell

```
data_V3GaH
_cell_length_a 7.777
_cell_length_b 6.338
_cell_length_c 4.785
_cell_angle_alpha 90.00
_cell_angle_beta 90.00
_cell_angle_gamma 90.00
_space_group_name_H-M_alt 'C m c m'
_space_group_IT_number 63
_space_group_name_Hall '-C 2c 2'
loop_
_atom_site_label
_atom_site_type_symbol
_atom_site_fract_x
_atom_site_fract_y
_atom_site_fract_z
_atom_site_occupancy
V1 V 0.000 0.000 0.000 1
V2 V 0.211 0.334 0.250 1
Ga1 Ga 0.000 0.359 0.750 1
H1 H 0.000 0.211 0.250 1
```